# 1
A plane-wave DFT calculation with SCAN was carried out for a PBEsol-optimized structure of Nd2GeB2O8.

```
Nd2GeB2O8
1.0
-2.695 -3.260 1.436
5.093 -0.716 7.933
-8.058 9.311 6.014
Nd Ge B O
8 4 8 32
Direct
0.458 0.526 0.641
0.042 0.026 0.859
0.042 0.474 0.141
0.458 0.974 0.359
0.542 0.474 0.359
0.958 0.974 0.141
0.958 0.526 0.859
0.542 0.026 0.641
0.925 0.750 0.500
0.575 0.250 0.000
0.075 0.250 0.500
0.425 0.750 0.000
0.533 0.705 0.200
0.967 0.205 0.300
0.967 0.295 0.700
0.533 0.795 0.800
0.467 0.295 0.800
0.033 0.795 0.700
0.033 0.705 0.300
0.467 0.205 0.200
0.538 0.553 0.192
0.962 0.053 0.308
0.962 0.447 0.692
0.538 0.947 0.808
0.462 0.447 0.808
0.038 0.947 0.692
0.038 0.553 0.308
0.462 0.053 0.192
0.654 0.767 0.107
0.846 0.267 0.393
0.846 0.233 0.607
0.654 0.733 0.893
0.346 0.233 0.893
0.154 0.733 0.607
0.154 0.767 0.393
0.346 0.267 0.107
0.224 0.761 0.218
0.276 0.261 0.282
0.276 0.239 0.718
0.224 0.739 0.782
0.776 0.239 0.782
0.724 0.739 0.718
0.724 0.761 0.282
0.776 0.261 0.218
0.705 0.599 0.495
0.795 0.099 0.005
0.795 0.401 0.995
0.705 0.901 0.505
0.295 0.401 0.505
0.205 0.901 0.995
0.205 0.599 0.005
0.295 0.099 0.495
```

Properties
- ΔE_f (raw): -3.009 eV/atom
- SG: No. 60
- Magnetic moment: 0.000 μB/atom
- V: 144.7 Å³/f.u.
- D(E_F): 0.000 states/eV per cell


# 2
A plane-wave DFT calculation with SCAN was carried out for a PBEsol-optimized structure of Ni2GeB.

```
Ni2GeB
1.0
-1.389 -0.632 3.539
2.411 -0.764 2.908
0.553 2.610 2.782
Ni Ge B
2 1 1
Direct
0.250 0.250 0.250
0.750 0.750 0.750
0.500 0.500 0.500
0.000 0.000 0.000
```

Properties
- SG: No. 225
- Magnetic moment: 0.000 μB/atom
- V: 40.5 Å³/f.u.
- D(E_F): 1.821 states/eV per cell
- Formation enthalpy at 0 K: 0.23 eV per atom


# 3
A plane-wave DFT calculation with SCAN was carried out for a PBEsol-optimized structure of Ni21Ge2B6.

```
Ni21Ge2B6
1.0
-5.146 2.829 -4.359
1.180 0.505 -7.200
-3.664 -4.328 -4.618
Ni Ge B
21 2 6
Direct
0.663 0.000 0.000
0.337 0.000 0.000
0.000 0.663 0.337
0.000 0.337 0.663
0.663 0.000 0.337
0.000 0.337 0.000
0.337 0.000 0.663
0.000 0.663 0.000
0.663 0.337 0.000
0.337 0.663 0.000
0.000 0.000 0.337
0.000 0.000 0.663
0.857 0.381 0.381
0.143 0.619 0.619
0.381 0.857 0.381
0.381 0.381 0.857
0.619 0.143 0.619
0.619 0.619 0.143
0.381 0.381 0.381
0.619 0.619 0.619
0.000 0.000 0.000
0.250 0.250 0.250
0.750 0.750 0.750
0.727 0.273 0.273
0.273 0.727 0.727
0.727 0.273 0.727
0.273 0.727 0.273
0.727 0.727 0.273
0.273 0.273 0.727
```

Properties
- SG: No. 225
- Magnetic moment: 0.000 μB/atom
- V: 276.6 Å³/f.u.
- D(E_F): 18.523 states/eV per cell
- Formation enthalpy at 0 K: -0.27 eV per atom